P) Below is a relaxed structure of BaTaCr2, with properties calculated at the GGA-PBE level.

Values from the calculation:
Calculated volume ... 249.5 Å³ per cell

Cell lengths 3.1256, 3.1256, 29.4964 Å; angles 90.00, 90.00, 120.00 degrees
Space group R3m (No. 160, hexagonal axes)
Unique sites:
Ba  0.0000  0.0000  0.0000
Ta  0.0000  0.0000  0.7732
Cr  0.0000  0.0000  0.2294
Cr  0.0000  0.0000  0.5057


Q) Below is a relaxed structure of BaTaCr2, with properties calculated at the GGA-PBE level.

Values from the calculation:
Calculated volume ... 87.6 Å³ per cell

Cell lengths 3.258, 5.036, 5.336 Å; angles 90.00, 90.00, 90.00 degrees
Space group Pmmm (No. 47)
Unique sites:
Ba  0.000  0.000  0.000
Ta  0.500  0.000  0.500
Cr  0.000  0.500  0.500
Cr  0.500  0.500  0.000


Name the most stable of them. P).


P) Below is a relaxed structure of BaTaCr2, with properties calculated at the GGA-PBE level.

Values from the calculation:
Calculated volume ... 175.9 Å³ per cell

Cell lengths 4.294, 4.294, 9.539 Å; angles 90.00, 90.00, 90.00 degrees
Space group I-4m2 (No. 119)
Unique sites:
Ba  0.000  0.000  0.000
Ta  0.000  0.500  0.250
Cr  0.000  0.000  0.500
Cr  0.000  0.500  0.750


Q) Below is a relaxed structure of BaTaCr2, with properties calculated at the GGA-PBE level.

Values from the calculation:
Calculated volume ... 339.4 Å³ per cell

Cell lengths 6.976, 6.976, 6.976 Å; angles 90.00, 90.00, 90.00 degrees
Space group F-43m (No. 216)
Unique sites:
Ba  0.000  0.000  0.000
Ta  0.250  0.250  0.250
Cr  0.000  0.000  0.500
Cr  0.250  0.250  0.750


Name the most stable of them. P).


P) Below is a relaxed structure of Ba2TaCr, with properties calculated at the GGA-PBE level.

Values from the calculation:
Calculated volume ... 125.0 Å³ per cell

Cell lengths 3.506, 3.576, 10.111 Å; angles 90.00, 99.58, 90.00 degrees
Space group Pm (No. 6)
Unique sites:
Ba  0.000  0.000  0.000
Ba  0.210  0.500  0.395
Ta  0.371  0.500  0.733
Cr  0.831  0.000  0.649


Q) Below is a relaxed structure of Ba2TaCr, with properties calculated at the GGA-PBE level.

Values from the calculation:
Calculated volume ... 445.4 Å³ per cell

Cell lengths 7.637, 7.637, 7.637 Å; angles 90.00, 90.00, 90.00 degrees
Space group Fm-3m (No. 225)
Unique sites:
Ba  0.250  0.250  0.250
Ta  0.000  0.000  0.000
Cr  0.000  0.000  0.500


Name the most stable of them. P).


P) Below is a relaxed structure of BaCr2Tc, with properties calculated at the GGA-PBE level.

Values from the calculation:
Calculated volume ... 238.5 Å³ per cell

Cell lengths 3.1247, 3.1247, 28.2043 Å; angles 90.00, 90.00, 120.00 degrees
Space group R3m (No. 160, hexagonal axes)
Unique sites:
Ba  0.0000  0.0000  0.0000
Cr  0.0000  0.0000  0.2253
Cr  0.0000  0.0000  0.4939
Tc  0.0000  0.0000  0.7703


Q) Below is a relaxed structure of BaCr2Tc, with properties calculated at the GGA-PBE level.

Values from the calculation:
Calculated volume ... 464.4 Å³ per cell

Cell lengths 5.499, 5.499, 15.360 Å; angles 90.00, 90.00, 90.00 degrees
Space group I4_1/amd (No. 141, origin choice 2)
Unique sites:
Ba  0.000  0.250  0.375
Cr  0.000  0.000  0.000
Tc  0.000  0.250  0.875


R) Below is a relaxed structure of BaCr2Tc, with properties calculated at the GGA-PBE level.

Values from the calculation:
Calculated volume ... 273.6 Å³ per cell

Cell lengths 6.492, 6.492, 6.492 Å; angles 90.00, 90.00, 90.00 degrees
Space group Fm-3m (No. 225)
Unique sites:
Ba  0.000  0.000  0.000
Cr  0.250  0.250  0.250
Tc  0.000  0.000  0.500


S) Below is a relaxed structure of BaCr2Tc, with properties calculated at the GGA-PBE level.

Values from the calculation:
Calculated volume ... 190.8 Å³ per cell

Cell lengths 3.330, 5.777, 9.915 Å; angles 90.00, 90.00, 90.00 degrees
Space group Immm (No. 71)
Unique sites:
Ba  0.000  0.000  0.000
Cr  0.000  0.500  0.184
Tc  0.000  0.000  0.500


Name the most stable of them. P).


P) Below is a relaxed structure of BaCr2Tc, with properties calculated at the GGA-PBE level.

Values from the calculation:
Calculated volume ... 87.6 Å³ per cell

Cell lengths 4.497, 4.497, 4.330 Å; angles 90.00, 90.00, 90.00 degrees
Space group P4/mmm (No. 123)
Unique sites:
Ba  0.000  0.000  0.000
Cr  0.000  0.500  0.500
Tc  0.500  0.500  0.000


Q) Below is a relaxed structure of BaCr2Tc, with properties calculated at the GGA-PBE level.

Values from the calculation:
Calculated volume ... 80.0 Å³ per cell

Cell lengths 3.232, 3.215, 7.701 Å; angles 90.00, 90.07, 90.00 degrees
Space group Pm (No. 6)
Unique sites:
Ba  0.000  0.000  0.000
Cr  0.000  0.000  0.489
Cr  0.500  0.500  0.363
Tc  0.500  0.500  0.647


R) Below is a relaxed structure of BaCr2Tc, with properties calculated at the GGA-PBE level.

Values from the calculation:
Calculated volume ... 175.5 Å³ per cell

Cell lengths 3.202, 3.892, 14.082 Å; angles 90.00, 90.00, 90.00 degrees
Space group Imm2 (No. 44)
Unique sites:
Ba  0.000  0.000  0.000
Cr  0.000  0.000  0.336
Cr  0.000  0.500  0.717
Tc  0.000  0.500  0.217


S) Below is a relaxed structure of BaCr2Tc, with properties calculated at the GGA-PBE level.

Values from the calculation:
Calculated volume ... 278.9 Å³ per cell

Cell lengths 4.1829, 4.1829, 18.4106 Å; angles 90.00, 90.00, 120.00 degrees
Space group R3m (No. 160, hexagonal axes)
Unique sites:
Ba  0.0000  0.0000  0.0000
Cr  0.0000  0.0000  0.4966
Cr  0.0000  0.0000  0.8092
Tc  0.0000  0.0000  0.1932


Name the most stable of them. S).


P) Below is a relaxed structure of BaCr2Tc, with properties calculated at the GGA-PBE level.

Values from the calculation:
Calculated volume ... 280.1 Å³ per cell

Cell lengths 4.2015, 4.2015, 18.3193 Å; angles 90.00, 90.00, 120.00 degrees
Space group R-3m (No. 166, hexagonal axes)
Unique sites:
Ba  0.0000  0.0000  0.0000
Cr  0.0000  0.0000  0.1901
Tc  0.0000  0.0000  0.5000


Q) Below is a relaxed structure of BaCr2Tc, with properties calculated at the GGA-PBE level.

Values from the calculation:
Calculated volume ... 164.4 Å³ per cell

Cell lengths 7.199, 7.216, 3.165 Å; angles 90.00, 90.00, 90.00 degrees
Space group Cmmm (No. 65)
Unique sites:
Ba  0.000  0.000  0.000
Cr  0.250  0.250  0.500
Tc  0.000  0.500  0.000


Name the most stable of them. P).


P) Below is a relaxed structure of Ba2CrTc, with properties calculated at the GGA-PBE level.

Values from the calculation:
Calculated volume ... 122.1 Å³ per cell

Cell lengths 3.535, 3.535, 9.774 Å; angles 90.00, 90.00, 90.00 degrees
Space group P4mm (No. 99)
Unique sites:
Ba  0.000  0.000  0.000
Ba  0.500  0.500  0.408
Cr  0.000  0.000  0.679
Tc  0.500  0.500  0.724


Q) Below is a relaxed structure of Ba2CrTc, with properties calculated at the GGA-PBE level.

Values from the calculation:
Calculated volume ... 255.9 Å³ per cell

Cell lengths 8.043, 8.245, 3.858 Å; angles 90.00, 90.00, 90.00 degrees
Space group Cmmm (No. 65)
Unique sites:
Ba  0.250  0.250  0.000
Cr  0.000  0.000  0.500
Tc  0.000  0.500  0.500


R) Below is a relaxed structure of Ba2CrTc, with properties calculated at the GGA-PBE level.

Values from the calculation:
Calculated volume ... 370.5 Å³ per cell

Cell lengths 3.6927, 3.6927, 31.3700 Å; angles 90.00, 90.00, 120.00 degrees
Space group R-3m (No. 166, hexagonal axes)
Unique sites:
Ba  0.0000  0.0000  0.2388
Cr  0.0000  0.0000  0.0000
Tc  0.0000  0.0000  0.5000


Name the most stable of them. P).


P) Below is a relaxed structure of Ba2CrTc, with properties calculated at the GGA-PBE level.

Values from the calculation:
Calculated volume ... 127.2 Å³ per cell

Cell lengths 3.723, 3.711, 9.205 Å; angles 90.00, 90.05, 90.00 degrees
Space group P2/m (No. 10)
Unique sites:
Ba  0.000  0.000  0.226
Cr  0.500  0.500  0.500
Tc  0.500  0.500  0.000


Q) Below is a relaxed structure of Ba2CrTc, with properties calculated at the GGA-PBE level.

Values from the calculation:
Calculated volume ... 121.0 Å³ per cell

Cell lengths 3.451, 3.606, 9.834 Å; angles 90.00, 98.72, 90.00 degrees
Space group Pm (No. 6)
Unique sites:
Ba  0.000  0.000  0.000
Ba  0.172  0.500  0.405
Cr  0.425  0.500  0.727
Tc  0.899  0.000  0.682


R) Below is a relaxed structure of Ba2CrTc, with properties calculated at the GGA-PBE level.

Values from the calculation:
Calculated volume ... 228.1 Å³ per cell

Cell lengths 5.439, 5.439, 7.710 Å; angles 90.00, 90.00, 90.00 degrees
Space group I-4m2 (No. 119)
Unique sites:
Ba  0.000  0.000  0.000
Ba  0.000  0.500  0.250
Cr  0.000  0.500  0.750
Tc  0.000  0.000  0.500


S) Below is a relaxed structure of Ba2CrTc, with properties calculated at the GGA-PBE level.

Values from the calculation:
Calculated volume ... 246.0 Å³ per cell

Cell lengths 19.287, 3.536, 3.608 Å; angles 90.00, 90.12, 90.00 degrees
Space group C2/m (No. 12)
Unique sites:
Ba  0.149  0.000  0.000
Cr  0.000  0.000  0.500
Tc  0.000  0.500  0.000


Name the most stable of them. Q).


P) Below is a relaxed structure of Ba2CrTc, with properties calculated at the GGA-PBE level.

Values from the calculation:
Calculated volume ... 253.0 Å³ per cell

Cell lengths 3.851, 5.510, 11.924 Å; angles 90.00, 90.00, 90.00 degrees
Space group Imm2 (No. 44)
Unique sites:
Ba  0.000  0.000  0.000
Ba  0.000  0.500  0.213
Cr  0.000  0.000  0.401
Tc  0.000  0.500  0.796


Q) Below is a relaxed structure of Ba2CrTc, with properties calculated at the GGA-PBE level.

Values from the calculation:
Calculated volume ... 276.7 Å³ per cell

Cell lengths 7.175, 4.141, 9.605 Å; angles 90.00, 104.20, 90.00 degrees
Space group Cm (No. 8)
Unique sites:
Ba  0.000  0.000  0.000
Ba  0.177  0.000  0.537
Cr  0.422  0.000  0.269
Tc  0.255  0.500  0.269


Name the most stable of them. Q).


P) Below is a relaxed structure of BaCr3Tc, with properties calculated at the GGA-PBE level.

Values from the calculation:
Calculated volume ... 117.1 Å³ per cell

Cell lengths 4.892, 4.892, 4.892 Å; angles 90.00, 90.00, 90.00 degrees
Space group Pm-3m (No. 221)
Unique sites:
Ba  0.000  0.000  0.000
Cr  0.000  0.000  0.500
Tc  0.500  0.500  0.500


Q) Below is a relaxed structure of BaCr3Tc, with properties calculated at the GGA-PBE level.

Values from the calculation:
Calculated volume ... 115.6 Å³ per cell

Cell lengths 4.872, 4.872, 4.872 Å; angles 90.00, 90.00, 90.00 degrees
Space group Pm-3m (No. 221)
Unique sites:
Ba  0.000  0.000  0.000
Cr  0.000  0.500  0.500
Tc  0.500  0.500  0.500


Name the most stable of them. Q).


P) Below is a relaxed structure of BaCrTc3, with properties calculated at the GGA-PBE level.

Values from the calculation:
Calculated volume ... 114.9 Å³ per cell

Cell lengths 4.862, 4.862, 4.862 Å; angles 90.00, 90.00, 90.00 degrees
Space group Pm-3m (No. 221)
Unique sites:
Ba  0.000  0.000  0.000
Cr  0.500  0.500  0.500
Tc  0.000  0.000  0.500


Q) Below is a relaxed structure of BaCrTc3, with properties calculated at the GGA-PBE level.

Values from the calculation:
Calculated volume ... 102.0 Å³ per cell

Cell lengths 4.672, 4.672, 4.672 Å; angles 90.00, 90.00, 90.00 degrees
Space group Pm-3m (No. 221)
Unique sites:
Ba  0.000  0.000  0.000
Cr  0.500  0.500  0.500
Tc  0.000  0.500  0.500


Name the most stable of them. Q).